Compound: LiPuFeRh
Source: Alexandria via LeMat-Bulk
Functional: PBE
Structure: relaxed

Cell lengths 4.458, 4.458, 4.458 Å; angles 60.00, 60.00, 60.00 degrees
Last column: magnetic moment on the atom in μB.
Fractional coordinates of all 4 atoms:
Pu 0.750 0.750 0.750  5.05
Rh 0.000 0.000 0.000  -0.17
Li 0.250 0.250 0.250  0.04
Fe 0.500 0.500 0.500  -1.87

Computed properties:
magnetic moment	3.3	μB per cell
DOS(E_F)	5.77	states/eV/cell
electronic total energy	-32.48	eV for the cell shown
SG	No. 216

***

Compound: GaRh2S
Source: Alexandria via LeMat-Bulk
Functional: PBE
Structure: relaxed

Cell lengths 4.114, 4.114, 8.215 Å; angles 75.50, 75.50, 90.00 degrees
Fractional coordinates of all 8 atoms:
Rh 0.375 0.413 0.750
Rh 0.875 0.837 0.750
S 0.250 0.750 0.500
Rh 0.163 0.625 0.250
Ga 0.000 0.000 0.000
Rh 0.587 0.125 0.250
Ga 0.750 0.250 0.500
S 0.500 0.500 0.000

Computed properties:
ΔE_f (raw)	-0.2259	eV/atom
magnetic moment	0.0	μB per cell
DOS(E_F)	6.01	states/eV/cell
SG	No. 122

***

Compound: RbGaCoHg2
Source: Alexandria via LeMat-Bulk
Functional: PBE
Structure: relaxed

Cell lengths 5.242, 5.242, 4.660 Å; angles 90.00, 90.00, 90.00 degrees
Fractional coordinates of all 5 atoms:
Ga 0.000 0.000 0.500
Hg 0.000 0.500 0.000
Co 0.000 0.000 0.000
Rb 0.500 0.500 0.500
Hg 0.500 0.000 0.000

Computed properties:
magnetic moment	0.0	μB per cell
DOS(E_F)	1.96	states/eV/cell
electronic total energy	-11.93	eV for the cell shown
SG	No. 123